# RbFeOsO6 PBE with a Hubbard U relaxed
data_RbFeOsO6
_chemical_formula_sum 'Rb1 Fe1 Os1 O6'
_space_group_name_H-M_alt 'P 1'
_space_group_IT_number 1
_space_group_name_Hall 'P 1'
_cell_length_a 5.2931
_cell_length_b 5.2943
_cell_length_c 6.2568
_cell_angle_alpha 90.04
_cell_angle_beta 90.02
_cell_angle_gamma 59.99
loop_
_atom_site_label
_atom_site_fract_x
_atom_site_fract_y
_atom_site_fract_z
Rb1 0.0001 0.0000 0.0000
O1 0.0212 0.3880 0.3259
O2 0.5905 0.0212 0.3258
O3 0.3881 0.5904 0.3259
O4 0.3881 0.0215 0.6741
O5 0.0212 0.5907 0.6741
O6 0.5905 0.3883 0.6742
Fe1 0.6666 0.6667 0.5000
Os1 0.3334 0.3333 0.5000
# Size of the total moment (μB per cell): 5.00
# E (Ha/atom): -0.2383
# Space-group type: P312 (149)